Record 1
Compound: ZrCd
Source: Alexandria
Functional: SCAN
Structure: single point on PBEsol structure

Calculated values
Space group   P4/mmm

a = 3.0519 Å, b = 3.0519 Å, c = 4.3919 Å
α = 90.00°, β = 90.00°, γ = 90.00°
With the nearest neighbours (Å) after each atom.
Element x y z (fractional)
1 Zr 0.0000 0.0000 0.0000  4 Zr 3.05, 8 Cd 3.08
2 Cd 0.5000 0.5000 0.5000  4 Cd 3.05, 8 Zr 3.08


Record 2
Compound: Zr3Cd
Source: Alexandria
Functional: SCAN
Structure: single point on PBEsol structure

Calculated values
Space group   P-6m2

a = 3.1268 Å, b = 3.1268 Å, c = 10.2514 Å
α = 90.00°, β = 90.00°, γ = 120.00°
With the nearest neighbours (Å) after each atom.
Element x y z (fractional)
1 Zr 0.0000 0.0000 0.0000  12 Zr 3.12-3.13
2 Zr 0.6667 0.3333 0.2485  9 Zr 3.12-3.13, 3 Cd 3.15
3 Zr 0.6667 0.3333 0.7515  9 Zr 3.12-3.13, 3 Cd 3.15
4 Cd 0.0000 0.0000 0.5000  6 Cd 3.13, 6 Zr 3.15


Record 3
Compound: Zr3Cd
Source: Alexandria
Functional: SCAN
Structure: single point on PBEsol structure

Calculated values
Space group   Cmmm

a = 5.3689 Å, b = 5.3689 Å, c = 3.0749 Å
α = 90.00°, β = 90.00°, γ = 105.87°
With the nearest neighbours (Å) after each atom.
Element x y z (fractional)
1 Zr 0.0000 0.0000 0.0000  10 Zr 3.07-3.09, 2 Cd 3.24
2 Zr 0.0000 0.5000 0.5000  8 Zr 3.07-3.24, 4 Cd 3.09
3 Zr 0.5000 0.0000 0.5000  8 Zr 3.07-3.24, 4 Cd 3.09
4 Cd 0.5000 0.5000 0.0000  2 Cd 3.07, 10 Zr 3.09-3.24


Record 4
Compound: Zr5Cd
Source: Alexandria
Functional: SCAN
Structure: single point on PBEsol structure

Calculated values
Offset from the most stable computed form   0.0 meV per atom
Space group   Cmmm

a = 7.0648 Å, b = 7.0648 Å, c = 4.3571 Å
α = 90.00°, β = 90.00°, γ = 143.59°
With the nearest neighbours (Å) after each atom.
Element x y z (fractional)
1 Zr 0.0000 0.0000 0.0000  4 Cd 3.10, 8 Zr 3.12-3.13
2 Zr 0.1662 0.8338 0.5000  10 Zr 3.10-3.15, 2 Cd 3.14
3 Zr 0.3348 0.6652 0.0000  10 Zr 3.10-3.17, 2 Cd 3.11
4 Zr 0.6652 0.3348 0.0000  10 Zr 3.10-3.17, 2 Cd 3.11
5 Zr 0.8338 0.1662 0.5000  10 Zr 3.10-3.15, 2 Cd 3.14
6 Cd 0.5000 0.5000 0.5000  12 Zr 3.10-3.14


Record 5
Compound: ZrCd
Source: Alexandria
Functional: SCAN
Structure: single point on PBEsol structure

Calculated values
Space group   Cmcm

a = 6.1889 Å, b = 6.1889 Å, c = 4.4839 Å
α = 90.00°, β = 90.00°, γ = 150.58°
With the nearest neighbours (Å) after each atom.
Element x y z (fractional)
1 Zr 0.1808 0.8192 0.7500  7 Cd 3.02-3.36, 6 Zr 3.14-3.20
2 Zr 0.8192 0.1808 0.2500  7 Cd 3.02-3.36, 6 Zr 3.14-3.20
3 Cd 0.4327 0.5673 0.7500  2 Cd 2.76, 5 Zr 3.02-3.06
4 Cd 0.5673 0.4327 0.2500  2 Cd 2.76, 5 Zr 3.02-3.06


Record 6
Compound: ZrCd2
Source: Alexandria
Functional: SCAN
Structure: single point on PBEsol structure

Calculated values
Space group   P6_3/mmc

a = 4.8714 Å, b = 4.8714 Å, c = 5.9569 Å
α = 90.00°, β = 90.00°, γ = 120.00°
With the nearest neighbours (Å) after each atom.
Element x y z (fractional)
1 Zr 0.3333 0.6667 0.2500  5 Cd 2.81-2.98
2 Zr 0.6667 0.3333 0.7500  5 Cd 2.81-2.98
3 Cd 0.0000 0.0000 0.0000  8 Cd 2.98-3.18, 6 Zr 3.18
4 Cd 0.0000 0.0000 0.5000  8 Cd 2.98-3.18, 6 Zr 3.18
5 Cd 0.3333 0.6667 0.7500  5 Zr 2.81-2.98
6 Cd 0.6667 0.3333 0.2500  5 Zr 2.81-2.98


no.,uncorrected energy (eV/cell)
1,-61.5
2,-122.5
3,-122.6
4,-184.3
5,-122.7
6,-183.7